Entry a
CdRh2Br | the Alexandria database | PBE-GGA | optimized geometry; M_tot = 1.34 Bohr magnetons per cell
1.0
3.151 0.000 0.000
0.000 3.151 0.000
0.000 0.000 7.564
Cd Rh Br
1 2 1
Cartesian
0.000 0.000 0.000
0.000 0.000 3.206
1.575 1.575 1.736
1.575 1.575 5.030


Entry b
CdRh2Br | the Alexandria database | PBE-GGA | optimized geometry; M_tot = 0.00 Bohr magnetons per cell
1.0
-2.171 2.171 8.485
2.171 -2.171 8.485
2.171 2.171 -8.485
Cd Rh Br
2 4 2
Cartesian
0.000 0.000 0.000
0.000 2.171 4.242
1.086 -0.811 6.363
1.360 1.086 2.121
1.086 2.983 -2.121
0.811 1.086 10.606
2.171 0.000 4.242
0.000 0.000 8.485


Entry c
CdRh2Br | the Alexandria database | PBE-GGA | optimized geometry; M_tot = 0.00 Bohr magnetons per cell
1.0
3.169 -3.461 0.000
3.169 3.461 0.000
0.000 0.000 3.128
Cd Rh Br
1 2 1
Cartesian
0.000 0.000 0.000
1.585 1.730 1.564
1.585 -1.730 1.564
3.169 0.000 0.000


Stability ranking, top and bottom: entry a is the most stable and entry b is the least stable.


Entry a
CdRh2Br | the Alexandria database | PBE-GGA | optimized geometry; M_tot = 0.00 Bohr magnetons per cell
1.0
5.263 -1.527 0.000
5.263 1.527 0.000
-1.572 0.000 4.448
Cd Rh Br
1 2 1
Cartesian
0.000 0.000 0.000
4.624 0.000 2.245
7.755 0.000 1.317
1.260 0.000 3.079


Entry b
CdRh2Br | the Alexandria database | PBE-GGA | optimized geometry; M_tot = 0.78 Bohr magnetons per cell
1.0
-1.974 1.974 4.546
1.974 -1.974 4.546
1.974 1.974 -4.546
Cd Rh Br
1 2 1
Cartesian
0.000 0.000 0.000
1.974 0.000 2.273
0.000 0.000 4.546
0.000 1.974 2.273


Entry c
CdRh2Br | the Alexandria database | PBE-GGA | optimized geometry; M_tot = 0.00 Bohr magnetons per cell
1.0
4.449 -1.538 0.000
4.449 1.538 0.000
-1.200 0.000 5.094
Cd Rh Br
1 2 1
Cartesian
0.000 0.000 0.000
1.305 0.000 3.763
6.393 0.000 1.331
3.849 0.000 2.547


Stability ranking, top and bottom: entry a is the most stable and entry b is the least stable.


Entry a
CdRh2Br | the Alexandria database | PBE-GGA | optimized geometry; M_tot = 0.00 Bohr magnetons per cell
1.0
-1.531 2.317 4.976
1.531 -2.317 4.976
1.531 2.317 -4.976
Cd Rh Br
1 2 1
Cartesian
0.000 0.000 0.000
1.531 0.000 2.790
0.000 0.000 5.135
0.000 2.317 2.245


Entry b
CdRh2Br | the Alexandria database | PBE-GGA | optimized geometry; M_tot = 0.00 Bohr magnetons per cell
1.0
3.049 0.000 0.000
0.000 4.552 0.000
0.000 0.000 5.105
Cd Rh Br
1 2 1
Cartesian
0.000 0.000 0.000
0.000 2.276 2.553
1.525 2.276 0.000
1.525 0.000 2.553


Entry c
CdRh2Br | the Alexandria database | PBE-GGA | optimized geometry; M_tot = 0.01 Bohr magnetons per cell
1.0
4.676 0.000 0.000
0.000 4.676 0.000
0.000 0.000 3.138
Cd Rh Br
1 2 1
Cartesian
0.000 0.000 0.000
0.000 2.338 1.569
2.338 0.000 1.569
2.338 2.338 0.000


Entry d
CdRh2Br | the Alexandria database | PBE-GGA | optimized geometry; M_tot = 0.00 Bohr magnetons per cell
1.0
3.119 0.000 0.000
0.000 3.119 0.000
0.000 0.000 7.008
Cd Rh Br
1 2 1
Cartesian
0.000 0.000 0.000
1.559 1.559 1.832
1.559 1.559 5.175
0.000 0.000 3.504


Stability ranking, top and bottom: entry d is the most stable and entry b is the least stable.


Entry a
CdRh2Br | the Alexandria database | PBE-GGA | optimized geometry; M_tot = 0.00 Bohr magnetons per cell
1.0
1.534 0.886 8.458
-1.534 0.886 8.458
0.000 -1.772 8.458
Cd Rh Br
1 2 1
Cartesian
0.000 0.000 0.000
0.000 0.000 6.242
0.000 0.000 19.133
0.000 0.000 12.687


Entry b
CdRh2Br | the Alexandria database | PBE-GGA | optimized geometry; M_tot = 0.00 Bohr magnetons per cell
1.0
3.129 0.000 0.000
0.000 4.043 0.000
0.000 0.000 5.772
Cd Rh Br
1 2 1
Cartesian
0.000 0.000 0.000
1.565 2.021 1.351
1.565 2.021 4.420
1.565 0.000 2.886


Stability ranking, top and bottom: entry a is the most stable and entry b is the least stable.


Entry a
CdRh2Br | the Alexandria database | PBE-GGA | optimized geometry; M_tot = 0.41 Bohr magnetons per cell
1.0
1.582 0.913 8.566
-1.582 0.913 8.566
0.000 -1.826 8.566
Cd Rh Br
1 2 1
Cartesian
0.000 0.000 0.000
0.000 0.000 12.578
0.000 0.000 19.256
0.000 0.000 5.946


Entry b
CdRh2Br | the Alexandria database | PBE-GGA | optimized geometry; M_tot = 2.12 Bohr magnetons per cell
1.0
0.000 3.314 3.314
3.314 0.000 3.314
3.314 3.314 0.000
Cd Rh Br
1 2 1
Cartesian
0.000 0.000 0.000
1.657 1.657 1.657
3.314 3.314 3.314
4.972 4.972 4.972


Stability ranking, top and bottom: entry a is the most stable and entry b is the least stable.


Entry a
CdRh2Br | the Alexandria database | PBE-GGA | optimized geometry; M_tot = 1.86 Bohr magnetons per cell
1.0
0.000 3.276 3.276
3.276 0.000 3.276
3.276 3.276 0.000
Cd Rh Br
1 2 1
Cartesian
0.000 0.000 0.000
1.638 1.638 1.638
4.914 4.914 4.914
3.276 3.276 3.276


Entry b
CdRh2Br | the Alexandria database | PBE-GGA | optimized geometry; M_tot = 0.05 Bohr magnetons per cell
1.0
3.040 0.000 0.000
0.000 3.465 0.000
-0.033 0.000 7.402
Cd Rh Br
1 2 1
Cartesian
0.000 0.000 0.000
1.486 1.733 5.748
3.006 0.000 4.451
3.003 1.733 2.527


Entry c
CdRh2Br | the Alexandria database | PBE-GGA | optimized geometry; M_tot = 0.00 Bohr magnetons per cell
1.0
1.501 -2.644 0.000
1.501 2.644 0.000
0.000 0.000 8.925
Cd Rh Br
1 2 1
Cartesian
0.000 0.000 0.000
1.501 0.000 2.311
1.501 0.000 6.614
0.000 0.000 4.462


Stability ranking, top and bottom: entry b is the most stable and entry a is the least stable.


Entry a
Cd2Rh2Br | the Alexandria database | PBE-GGA | optimized geometry; M_tot = 1.78 Bohr magnetons per cell
1.0
-2.056 2.056 6.217
2.056 -2.056 6.217
2.056 2.056 -6.217
Cd Rh Br
2 2 1
Cartesian
2.056 0.000 3.109
0.000 2.056 3.109
0.000 0.000 1.265
0.000 0.000 11.170
0.000 0.000 6.217


Entry b
Cd2Rh2Br | the Alexandria database | PBE-GGA | optimized geometry; M_tot = 0.00 Bohr magnetons per cell
1.0
6.941 0.000 0.000
0.000 6.941 0.000
0.000 0.000 3.969
Cd Rh Br
4 4 2
Cartesian
1.064 2.406 0.000
2.406 5.877 0.000
4.535 1.064 0.000
5.877 4.535 0.000
1.006 4.477 1.985
2.464 1.006 1.985
4.477 5.935 1.985
5.935 2.464 1.985
0.000 0.000 1.985
3.471 3.471 1.985


Stability ranking, top and bottom: entry b is the most stable and entry a is the least stable.


Entry a
Cd3RhBr | the Alexandria database | PBE-GGA | optimized geometry; M_tot = 0.00 Bohr magnetons per cell
1.0
5.223 0.000 0.000
0.000 5.223 0.000
0.000 0.000 5.223
Cd Rh Br
3 1 1
Cartesian
0.000 0.000 2.611
0.000 2.611 0.000
2.611 0.000 0.000
0.000 0.000 0.000
2.611 2.611 2.611


Entry b
Cd3RhBr | the Alexandria database | PBE-GGA | optimized geometry; M_tot = 0.00 Bohr magnetons per cell
1.0
5.339 0.000 0.000
0.000 5.339 0.000
0.000 0.000 5.339
Cd Rh Br
3 1 1
Cartesian
0.000 0.000 2.670
0.000 2.670 0.000
2.670 0.000 0.000
2.670 2.670 2.670
0.000 0.000 0.000


Stability ranking, top and bottom: entry a is the most stable and entry b is the least stable.


Entry a
Cd3SBr | the Alexandria database | PBE-GGA | optimized geometry; M_tot = 0.00 Bohr magnetons per cell
1.0
5.373 0.000 0.000
0.000 5.373 0.000
0.000 0.000 5.373
Cd S Br
3 1 1
Cartesian
0.000 0.000 2.686
0.000 2.686 0.000
2.686 0.000 0.000
0.000 0.000 0.000
2.686 2.686 2.686


Entry b
Cd3SBr | the Alexandria database | PBE-GGA | optimized geometry; M_tot = 0.00 Bohr magnetons per cell
1.0
5.528 0.000 0.000
0.000 5.528 0.000
0.000 0.000 5.528
Cd S Br
3 1 1
Cartesian
0.000 0.000 2.764
0.000 2.764 0.000
2.764 0.000 0.000
2.764 2.764 2.764
0.000 0.000 0.000


Stability ranking, top and bottom: entry a is the most stable and entry b is the least stable.


Entry a
CdSBr3 | the Alexandria database | PBE-GGA | optimized geometry; M_tot = 0.00 Bohr magnetons per cell
1.0
5.203 0.000 0.000
0.000 5.203 0.000
0.000 0.000 5.203
Cd S Br
1 1 3
Cartesian
0.000 0.000 0.000
2.602 2.602 2.602
0.000 2.602 2.602
2.602 0.000 2.602
2.602 2.602 0.000


Entry b
CdSBr3 | the Alexandria database | PBE-GGA | optimized geometry; M_tot = 3.00 Bohr magnetons per cell
1.0
5.496 0.000 0.000
0.000 5.496 0.000
0.000 0.000 5.496
Cd S Br
1 1 3
Cartesian
0.000 0.000 0.000
2.748 2.748 2.748
0.000 0.000 2.748
0.000 2.748 0.000
2.748 0.000 0.000


Stability ranking, top and bottom: entry a is the most stable and entry b is the least stable.


Entry a
Cd3S2Br2 | the Alexandria database | PBE-GGA | optimized geometry; M_tot = 0.00 Bohr magnetons per cell
1.0
7.185 -2.034 0.000
7.185 2.034 0.000
-2.815 0.000 6.543
Cd S Br
3 2 2
Cartesian
0.000 0.000 0.000
1.464 0.000 4.766
10.092 0.000 1.777
1.312 0.000 2.044
10.243 0.000 4.499
4.963 0.000 1.167
6.592 0.000 5.376


Entry b
Cd3S2Br2 | the Alexandria database | PBE-GGA | optimized geometry; M_tot = 0.00 Bohr magnetons per cell
1.0
7.674 0.000 0.000
0.000 7.531 0.000
-3.467 0.000 6.550
Cd S Br
6 4 4
Cartesian
0.000 0.000 0.000
-1.734 3.766 3.275
0.297 0.626 4.804
2.030 3.140 1.528
2.176 4.391 5.022
3.910 6.905 1.747
2.306 0.898 0.411
0.572 2.868 3.686
3.635 4.663 2.864
1.901 6.633 6.139
-1.960 4.874 6.033
-0.226 6.423 2.758
4.433 1.108 3.792
6.167 2.657 0.517


Stability ranking, top and bottom: entry b is the most stable and entry a is the least stable.